ZnSnMo after structural relaxation. Source: Alexandria, functional PBE.

a = 4.630 Å, b = 4.630 Å, c = 2.809 Å
α = 90.00°, β = 90.00°, γ = 120.00°
Sites, in units of the cell vectors:
Zn: 0.000 0.000 0.000
Sn: 0.333 0.667 0.995
Mo: 0.667 0.333 0.497

## Properties
Fermi-level density of states: 0.8217 states/eV per atom
DFT formation energy: 0.36 eV per atom
final energy: -15.02 eV for the cell shown